First-principles (PBE-GGA) data for an optimized crystal structure of Ca4CdSe5, as listed in Alexandria.

Lattice parameters (Å, degrees): 17.165 17.165 17.165 14.04 14.04 14.04
Element x y z (fractional)
Ca 0.102 0.102 0.102
Ca 0.299 0.299 0.299
Ca 0.701 0.701 0.701
Ca 0.898 0.898 0.898
Cd 0.500 0.500 0.500
Se 0.000 0.000 0.000
Se 0.198 0.198 0.198
Se 0.401 0.401 0.401
Se 0.599 0.599 0.599
Se 0.802 0.802 0.802

Summary:
Total DFT energy (no corrections) ... -43.44 eV/cell
Space group ... R-3m

=====

First-principles (PBE-GGA) data for an optimized crystal structure of CaCd2Se, as listed in Alexandria.

Lattice parameters (Å, degrees): 5.369 5.369 6.012 112.39 112.39 41.92
Element x y z (fractional)
Ca 0.000 0.000 0.000
Cd 0.177 0.177 0.613
Cd 0.413 0.413 0.459
Se 0.725 0.725 0.041

Summary:
Total DFT energy (no corrections) ... -9.87 eV/cell
Space group ... Cm